Entry 1:
! PBE Tb2CdHgAu4, optimized geometry; values from VASP
! **Energy relative to the elements**: -640 meV per atom
! **M_tot**: 0.00 μB per atom
! **DOS at the Fermi energy**: 3.81 states/eV/cell
! **Total DFT energy (no corrections)**: -3.588 eV/atom
&SYSTEM
  ibrav = 0, nat = 8, ntyp = 4
/
ATOMIC_SPECIES
Tb 158.93 Tb.upf
Cd 112.41 Cd.upf
Hg 200.59 Hg.upf
Au 196.97 Au.upf
ATOMIC_POSITIONS crystal
Tb 0.752 0.752 0.744
Tb 0.248 0.248 0.256
Cd 0.000 0.000 0.000
Hg 0.500 0.500 0.500
Au 0.373 0.373 0.881
Au 0.878 0.878 0.365
Au 0.122 0.122 0.635
Au 0.627 0.627 0.119
CELL_PARAMETERS angstrom
-3.733 -2.429 -2.192
-2.738 -3.216 2.607
-7.203 4.051 2.157


Entry 2:
! PBE RbV3Mo, optimized geometry; values from VASP
! **Excess energy over the best structure of this formula in the dataset**: 1300 meV per atom
! **Energy relative to the elements**: 2758 meV per atom
! **M_tot**: 0.00 μB per atom
! **DOS at the Fermi energy**: 8.55 states/eV/cell
! **Total DFT energy (no corrections)**: -5.073 eV/atom
&SYSTEM
  ibrav = 0, nat = 5, ntyp = 3
/
ATOMIC_SPECIES
Mo 95.94 Mo.upf
Rb 85.47 Rb.upf
V 50.94 V.upf
ATOMIC_POSITIONS crystal
Mo 0.500 0.500 0.500
Rb 0.000 0.000 0.000
V 0.000 0.500 0.000
V 0.000 0.000 0.500
V 0.500 0.000 0.000
CELL_PARAMETERS angstrom
-3.996 0.704 -1.820
-0.088 -4.208 -1.435
-1.950 -1.254 3.795


Entry 3:
! PBE TmLuIr2, optimized geometry; values from VASP
! **Excess energy over the best structure of this formula in the dataset**: 0 meV per atom
! **Energy relative to the elements**: -944 meV per atom
! **M_tot**: 0.00 μB per atom
! **DOS at the Fermi energy**: 1.14 states/eV/cell
! **Total DFT energy (no corrections)**: -7.623 eV/atom
&SYSTEM
  ibrav = 0, nat = 4, ntyp = 3
/
ATOMIC_SPECIES
Tm 168.93 Tm.upf
Ir 192.22 Ir.upf
Lu 174.97 Lu.upf
ATOMIC_POSITIONS crystal
Tm 0.500 0.000 0.000
Ir 0.000 0.000 0.500
Ir 0.000 0.500 0.000
Lu 0.500 0.500 0.500
CELL_PARAMETERS angstrom
3.533 0.000 0.000
0.000 4.644 0.000
0.000 0.000 4.644


Entry 4:
! PBE RbCd5In2, optimized geometry; values from VASP
! **Energy relative to the elements**: -47 meV per atom
! **M_tot**: 0.00 μB per atom
! **DOS at the Fermi energy**: 3.38 states/eV/cell
! **Total DFT energy (no corrections)**: -1.425 eV/atom
&SYSTEM
  ibrav = 0, nat = 8, ntyp = 3
/
ATOMIC_SPECIES
Rb 85.47 Rb.upf
Cd 112.41 Cd.upf
In 114.82 In.upf
ATOMIC_POSITIONS crystal
Rb 0.000 0.000 0.000
Cd 0.000 0.500 0.500
Cd 0.631 0.555 0.183
Cd 0.369 0.445 0.817
Cd 0.369 0.817 0.445
Cd 0.631 0.183 0.555
In 0.747 0.753 0.753
In 0.253 0.247 0.247
CELL_PARAMETERS angstrom
-4.059 1.256 1.928
1.414 2.611 6.922
-0.154 7.519 0.422


Entry 5:
! PBE NdU2TcC4, optimized geometry; values from VASP
! **Energy relative to the elements**: -39 meV per atom
! **M_tot**: 0.07 μB per atom
! **DOS at the Fermi energy**: 16.75 states/eV/cell
! **Total DFT energy (no corrections)**: -9.365 eV/atom
&SYSTEM
  ibrav = 0, nat = 16, ntyp = 4
/
ATOMIC_SPECIES
Nd 144.24 Nd.upf
U 238.03 U.upf
Tc 98.00 Tc.upf
C 12.01 C.upf
ATOMIC_POSITIONS crystal
Nd 0.115 0.230 0.750
Nd 0.885 0.770 0.250
U 0.372 0.743 0.546
U 0.628 0.257 0.046
U 0.628 0.257 0.454
U 0.372 0.743 0.954
Tc 0.853 0.706 0.750
Tc 0.147 0.294 0.250
C 0.257 0.514 0.116
C 0.743 0.486 0.616
C 0.743 0.486 0.884
C 0.257 0.514 0.384
C 0.000 0.000 0.500
C 0.000 0.000 0.000
C 0.439 0.878 0.750
C 0.561 0.122 0.250
CELL_PARAMETERS angstrom
-1.560 3.141 -0.863
-3.618 -4.462 -2.140
-5.775 -0.119 10.012


Entry 6:
! PBE RbLa2SiAu, optimized geometry; values from VASP
! **M_tot**: 0.00 μB per atom
! **DOS at the Fermi energy**: 3.29 states/eV/cell
! **Total DFT energy (no corrections)**: -3.742 eV/atom
&SYSTEM
  ibrav = 0, nat = 5, ntyp = 4
/
ATOMIC_SPECIES
Si 28.09 Si.upf
Au 196.97 Au.upf
Rb 85.47 Rb.upf
La 138.91 La.upf
ATOMIC_POSITIONS crystal
Si 0.000 0.000 0.000
Au 0.500 0.500 0.500
Rb 0.000 0.000 0.500
La 0.000 0.500 0.000
La 0.500 0.000 0.000
CELL_PARAMETERS angstrom
5.689 0.000 0.000
0.000 5.689 0.000
0.000 0.000 6.439


Entry 7:
! PBE SrZnSn2, optimized geometry; values from VASP
! **Energy relative to the elements**: -260 meV per atom
! **M_tot**: 0.00 μB per atom
! **DOS at the Fermi energy**: 1.22 states/eV/cell
! **Total DFT energy (no corrections)**: -3.000 eV/atom
&SYSTEM
  ibrav = 0, nat = 4, ntyp = 3
/
ATOMIC_SPECIES
Sr 87.62 Sr.upf
Zn 65.41 Zn.upf
Sn 118.71 Sn.upf
ATOMIC_POSITIONS crystal
Sr 0.000 0.945 0.055
Zn 0.500 0.445 0.555
Sn 0.500 0.945 0.555
Sn 0.500 0.445 0.055
CELL_PARAMETERS angstrom
-2.661 -1.430 1.749
0.327 -4.801 -3.429
3.298 -0.143 4.901


Entry 8:
! PBE Rb2In5Sn5, optimized geometry; values from VASP
! **Energy relative to the elements**: -55 meV per atom
! **M_tot**: 0.00 μB per atom
! **DOS at the Fermi energy**: 5.88 states/eV/cell
! **Total DFT energy (no corrections)**: -3.025 eV/atom
&SYSTEM
  ibrav = 0, nat = 12, ntyp = 3
/
ATOMIC_SPECIES
Rb 85.47 Rb.upf
In 114.82 In.upf
Sn 118.71 Sn.upf
ATOMIC_POSITIONS crystal
Rb 0.000 0.500 0.000
Rb 0.000 0.000 0.500
In 0.000 0.500 0.331
In 0.000 0.000 0.834
In 0.000 0.000 0.166
In 0.000 0.500 0.669
In 0.500 0.000 0.000
Sn 0.500 0.500 0.500
Sn 0.500 0.751 0.251
Sn 0.500 0.249 0.749
Sn 0.500 0.249 0.251
Sn 0.500 0.751 0.749
CELL_PARAMETERS angstrom
-1.442 3.181 3.917
2.825 -4.145 4.406
9.636 5.550 -0.958